1.
Compound: CrIn2AsI
Source: the Alexandria database
Functional: PBE
Structure: relaxed

Calculated values
**V**: 174 Å³/f.u.
**Space-group type**: P4/mmm
**Crystal system**: tetragonal
**Formation energy without anion corrections**: 712 meV/atom
**N(E_F)**: 0.438 states/eV per atom

Cell: 5.453 5.868 5.453 Å, 90.00 90.00 90.00°
Each line ends with the local moment (μB).
Fractional positions:
1 I 0.000 0.500 0.000  -0.04
2 Cr 0.500 0.500 0.500  -4.35
3 As 0.000 0.000 0.000  -0.02
4 In 0.000 0.000 0.500  -0.01
5 In 0.500 0.000 0.000  0.00


2.
Compound: LiPdN2F
Source: the Alexandria database
Functional: PBE
Structure: relaxed

Calculated values
**V**: 49 Å³/f.u.
**Space-group type**: P4/mmm
**Crystal system**: tetragonal
**Formation energy without anion corrections**: 1093 meV/atom
**N(E_F)**: 1.035 states/eV per atom

Cell: 3.779 3.779 3.413 Å, 90.00 90.00 90.00°
Fractional positions:
1 N 0.000 0.500 0.000
2 N 0.500 0.000 0.000
3 Li 0.000 0.000 0.000
4 Pd 0.500 0.500 0.500
5 F 0.000 0.000 0.500


3.
Compound: TbCo12B4
Source: the Alexandria database
Functional: PBE
Structure: relaxed

Calculated values
**Formation energy from the elements**: 0.09 eV/atom
**V**: 189 Å³/f.u.
**Space-group type**: Im-3
**Crystal system**: cubic
**N(E_F)**: 1.025 states/eV per atom

Cell: 6.258 6.258 6.258 Å, 109.47 109.47 109.47°
Each line ends with the local moment (μB).
Fractional positions:
1 Tb 0.000 0.000 0.000  -0.19
2 Co 0.823 0.343 0.165  1.24
3 Co 0.343 0.520 0.177  1.24
4 Co 0.835 0.177 0.657  1.24
5 Co 0.343 0.165 0.823  1.24
6 Co 0.165 0.823 0.343  1.24
7 Co 0.657 0.480 0.823  1.24
8 Co 0.520 0.177 0.343  1.24
9 Co 0.480 0.823 0.657  1.24
10 Co 0.657 0.835 0.177  1.24
11 Co 0.823 0.657 0.480  1.24
12 Co 0.177 0.343 0.520  1.24
13 Co 0.177 0.657 0.835  1.24
14 B 0.000 0.500 0.000  -0.07
15 B 0.500 0.000 0.000  -0.07
16 B 0.500 0.500 0.500  -0.07
17 B 0.000 0.000 0.500  -0.07


4.
Compound: SrCd4Co
Source: the Alexandria database
Functional: PBE
Structure: relaxed

Calculated values
**Formation energy from the elements**: 0.17 eV/atom
**V**: 139 Å³/f.u.
**Space-group type**: F-43m
**Crystal system**: cubic
**N(E_F)**: 1.072 states/eV per atom

Cell: 5.821 5.821 5.821 Å, 60.00 60.00 60.00°
Each line ends with the local moment (μB).
Fractional positions:
1 Sr 0.000 0.000 0.000  -0.06
2 Cd 0.376 0.872 0.376  -0.04
3 Cd 0.872 0.376 0.376  -0.04
4 Cd 0.376 0.376 0.872  -0.04
5 Cd 0.376 0.376 0.376  -0.04
6 Co 0.750 0.750 0.750  1.58


5.
Compound: YVSb2Te
Source: the Alexandria database
Functional: PBE
Structure: relaxed

Calculated values
**V**: 190 Å³/f.u.
**Space-group type**: P4/mmm
**Crystal system**: tetragonal
**Formation energy without anion corrections**: 690 meV/atom
**N(E_F)**: 1.661 states/eV per atom

Cell: 5.736 5.736 5.760 Å, 90.00 90.00 90.00°
Each line ends with the local moment (μB).
Fractional positions:
1 Y 0.000 0.000 0.000  0.00
2 Sb 0.000 0.500 0.000  -0.05
3 Sb 0.500 0.000 0.000  -0.05
4 Te 0.000 0.000 0.500  -0.07
5 V 0.500 0.500 0.500  3.14


6.
Compound: KTm2AgS4
Source: the Alexandria database
Functional: PBE
Structure: relaxed

Calculated values
**V**: 189 Å³/f.u.
**Space-group type**: Cmcm
**Crystal system**: orthorhombic
**Formation energy without anion corrections**: -1570 meV/atom
**N(E_F)**: 0.000 states/eV per atom

Cell: 4.000 6.985 14.104 Å, 90.00 90.00 106.64°
Fractional positions:
1 K 0.117 0.235 0.750
2 K 0.883 0.765 0.250
3 Tm 0.369 0.737 0.566
4 Tm 0.631 0.263 0.066
5 Tm 0.631 0.263 0.434
6 Tm 0.369 0.737 0.934
7 Ag 0.835 0.670 0.750
8 Ag 0.165 0.330 0.250
9 S 0.263 0.527 0.100
10 S 0.737 0.473 0.600
11 S 0.737 0.473 0.900
12 S 0.263 0.527 0.400
13 S 0.000 0.000 0.500
14 S 0.000 0.000 0.000
15 S 0.445 0.890 0.750
16 S 0.555 0.110 0.250


7.
Compound: Ho2PuScBi4
Source: the Alexandria database
Functional: PBE
Structure: relaxed

Calculated values
**Formation energy from the elements**: -0.65 eV/atom
**V**: 247 Å³/f.u.
**Space-group type**: P2/m
**Crystal system**: monoclinic
**N(E_F)**: 2.115 states/eV per atom

Cell: 4.440 7.674 7.687 Å, 109.38 90.00 90.00°
Each line ends with the local moment (μB).
Fractional positions:
1 Ho 0.500 0.000 0.500  -0.07
2 Ho 0.000 0.500 0.500  -0.01
3 Pu 0.500 0.500 0.000  5.28
4 Sc 0.000 0.000 0.000  0.01
5 Bi 0.500 0.240 0.243  -0.04
6 Bi 0.500 0.760 0.757  -0.04
7 Bi 0.000 0.243 0.752  -0.07
8 Bi 0.000 0.757 0.248  -0.07


8.
Compound: MnSiP2
Source: the Alexandria database
Functional: PBE
Structure: relaxed

Calculated values
**V**: 59 Å³/f.u.
**Space-group type**: R3m
**Crystal system**: trigonal
**Formation energy without anion corrections**: 49 meV/atom
**N(E_F)**: 0.608 states/eV per atom

Cell: 8.999 8.999 8.999 Å, 17.69 17.69 17.69°
Fractional positions:
1 Mn 0.755 0.755 0.755
2 P 0.027 0.027 0.027
3 P 0.228 0.228 0.228
4 Si 0.489 0.489 0.489


9.
Compound: NaGa3Cu
Source: the Alexandria database
Functional: PBE
Structure: relaxed

Calculated values
**Formation energy from the elements**: -0.02 eV/atom
**V**: 96 Å³/f.u.
**Space-group type**: P6_3/mmc
**Crystal system**: hexagonal
**N(E_F)**: 0.332 states/eV per atom

Cell: 5.460 6.361 6.361 Å, 120.01 90.00 90.00°
Fractional positions:
1 Na 0.750 0.667 0.333
2 Na 0.250 0.333 0.667
3 Ga 0.750 0.619 0.810
4 Ga 0.250 0.810 0.619
5 Ga 0.250 0.381 0.190
6 Ga 0.750 0.190 0.381
7 Ga 0.250 0.810 0.190
8 Ga 0.750 0.190 0.810
9 Cu 0.000 0.000 0.000
10 Cu 0.500 0.000 0.000


10.
Compound: Zr2MnHg
Source: the Alexandria database
Functional: PBE
Structure: relaxed

Calculated values
**Formation energy from the elements**: 0.06 eV/atom
**V**: 80 Å³/f.u.
**Space-group type**: Imm2
**Crystal system**: orthorhombic
**N(E_F)**: 1.178 states/eV per atom

Cell: 5.852 5.852 5.852 Å, 148.07 129.98 60.58°
Each line ends with the local moment (μB).
Fractional positions:
1 Hg 0.473 0.473 0.000  0.00
2 Mn 0.252 0.752 0.500  2.93
3 Zr 0.029 0.029 0.000  -0.35
4 Zr 0.746 0.246 0.500  -0.42


11.
Compound: EuGd2Er
Source: the Alexandria database
Functional: PBE
Structure: relaxed

Calculated values
**Formation energy from the elements**: 0.14 eV/atom
**V**: 136 Å³/f.u.
**Space-group type**: R-3m
**Crystal system**: trigonal
**N(E_F)**: 1.387 states/eV per atom

Cell: 3.543 3.543 12.678 Å, 81.97 81.97 60.00°
Each line ends with the local moment (μB).
Fractional positions:
1 Eu 0.000 0.000 0.000  -7.06
2 Gd 0.091 0.091 0.727  7.21
3 Gd 0.909 0.909 0.273  7.21
4 Er 0.500 0.500 0.500  -0.12


12.
Compound: SnAsP2O
Source: the Alexandria database
Functional: PBE
Structure: relaxed

Calculated values
**V**: 89 Å³/f.u.
**Space-group type**: P4/mmm
**Crystal system**: tetragonal
**Formation energy without anion corrections**: 203 meV/atom
**N(E_F)**: 0.519 states/eV per atom

Cell: 4.867 4.867 3.749 Å, 90.00 90.00 90.00°
Fractional positions:
1 P 0.000 0.500 0.000
2 P 0.500 0.000 0.000
3 As 0.000 0.000 0.000
4 Sn 0.500 0.500 0.500
5 O 0.000 0.000 0.500


13.
Compound: LiMn3
Source: the Alexandria database
Functional: PBE
Structure: relaxed

Calculated values
**Formation energy from the elements**: 0.29 eV/atom
**V**: 53 Å³/f.u.
**Space-group type**: P4/mmm
**Crystal system**: tetragonal
**N(E_F)**: 1.227 states/eV per atom

Cell: 2.670 2.670 7.487 Å, 90.00 90.00 90.00°
Each line ends with the local moment (μB).
Fractional positions:
1 Li 0.000 0.000 0.000  -0.03
2 Mn 0.500 0.500 0.715  2.92
3 Mn 0.000 0.000 0.500  -1.54
4 Mn 0.500 0.500 0.285  2.92


14.
Compound: Th3Be2Pt4
Source: the Alexandria database
Functional: PBE
Structure: relaxed

Calculated values
**Formation energy from the elements**: -1.01 eV/atom
**V**: 184 Å³/f.u.
**Space-group type**: C2/m
**Crystal system**: monoclinic
**N(E_F)**: 0.550 states/eV per atom

Cell: 4.162 5.846 8.595 Å, 108.10 90.00 110.85°
Fractional positions:
1 Th 0.665 0.330 0.666
2 Th 0.000 0.000 0.000
3 Th 0.335 0.670 0.334
4 Be 0.613 0.226 0.286
5 Be 0.387 0.774 0.714
6 Pt 0.707 0.414 0.084
7 Pt 0.293 0.586 0.916
8 Pt 0.933 0.867 0.620
9 Pt 0.067 0.133 0.380


15.
Compound: Ho6GaP2S3
Source: the Alexandria database
Functional: PBE
Structure: relaxed

Calculated values
**V**: 266 Å³/f.u.
**Space-group type**: C2/m
**Crystal system**: monoclinic
**Formation energy without anion corrections**: -1646 meV/atom
**N(E_F)**: 0.250 states/eV per atom

Cell: 3.928 8.017 8.895 Å, 102.96 102.76 90.00°
Fractional positions:
1 Ho 0.333 0.911 0.666
2 Ho 0.670 0.578 0.339
3 Ho 0.667 0.089 0.334
4 Ho 0.001 0.256 0.002
5 Ho 0.999 0.744 0.998
6 Ho 0.330 0.422 0.661
7 Ga 0.500 0.000 0.000
8 P 0.833 0.665 0.666
9 P 0.167 0.335 0.334
10 S 0.500 0.500 0.000
11 S 0.831 0.168 0.663
12 S 0.169 0.832 0.337


16.
Compound: NdSc5In3
Source: the Alexandria database
Functional: PBE
Structure: relaxed

Calculated values
**Formation energy from the elements**: -0.35 eV/atom
**V**: 219 Å³/f.u.
**Space-group type**: P6_3/mcm
**Crystal system**: hexagonal
**N(E_F)**: 1.076 states/eV per atom

Cell: 6.390 8.897 8.897 Å, 120.00 90.00 90.00°
Fractional positions:
1 Nd 0.000 0.000 0.000
2 Nd 0.500 0.000 0.000
3 Sc 0.000 0.667 0.333
4 Sc 0.500 0.333 0.667
5 Sc 0.000 0.333 0.667
6 Sc 0.500 0.667 0.333
7 Sc 0.750 0.668 0.668
8 Sc 0.750 0.000 0.332
9 Sc 0.750 0.332 0.000
10 Sc 0.250 0.332 0.332
11 Sc 0.250 0.000 0.668
12 Sc 0.250 0.668 0.000
13 In 0.750 0.343 0.343
14 In 0.750 0.000 0.657
15 In 0.750 0.657 0.000
16 In 0.250 0.657 0.657
17 In 0.250 0.000 0.343
18 In 0.250 0.343 0.000


17.
Compound: ScNiTeW2
Source: the Alexandria database
Functional: PBE
Structure: relaxed

Calculated values
**V**: 110 Å³/f.u.
**Space-group type**: P4/mmm
**Crystal system**: tetragonal
**Formation energy without anion corrections**: 1491 meV/atom
**N(E_F)**: 1.962 states/eV per atom

Cell: 4.955 4.482 4.955 Å, 90.00 90.00 90.00°
Fractional positions:
1 Sc 0.500 0.500 0.500
2 Ni 0.000 0.500 0.000
3 Te 0.000 0.000 0.000
4 W 0.000 0.000 0.500
5 W 0.500 0.000 0.000


18.
Compound: LaIn4Pd4
Source: the Alexandria database
Functional: PBE
Structure: relaxed

Calculated values
**Formation energy from the elements**: -0.44 eV/atom
**V**: 215 Å³/f.u.
**Space-group type**: P4_2/n
**Crystal system**: tetragonal
**N(E_F)**: 0.556 states/eV per atom

Cell: 5.391 8.939 8.939 Å, 90.00 90.00 90.00°
Fractional positions:
1 La 0.000 0.000 0.000
2 La 0.500 0.500 0.500
3 In 0.418 0.349 0.895
4 In 0.918 0.605 0.849
5 In 0.418 0.651 0.105
6 In 0.082 0.151 0.605
7 In 0.582 0.895 0.651
8 In 0.082 0.849 0.395
9 In 0.918 0.395 0.151
10 In 0.582 0.105 0.349
11 Pd 0.578 0.795 0.356
12 Pd 0.578 0.205 0.644
13 Pd 0.078 0.856 0.705
14 Pd 0.922 0.295 0.856
15 Pd 0.922 0.705 0.144
16 Pd 0.422 0.356 0.205
17 Pd 0.422 0.644 0.795
18 Pd 0.078 0.144 0.295


19.
Compound: K2Hf2Te6Pd
Source: the Alexandria database
Functional: PBE
Structure: relaxed

Calculated values
**V**: 374 Å³/f.u.
**Space-group type**: C2/m
**Crystal system**: monoclinic
**Formation energy without anion corrections**: -753 meV/atom
**N(E_F)**: 0.617 states/eV per atom

Cell: 7.170 7.170 8.768 Å, 97.79 97.79 120.35°
Fractional positions:
1 K 0.838 0.162 0.000
2 K 0.162 0.838 0.000
3 Hf 0.324 0.676 0.500
4 Hf 0.676 0.324 0.500
5 Te 0.738 0.738 0.680
6 Te 0.080 0.405 0.699
7 Te 0.262 0.262 0.320
8 Te 0.405 0.080 0.699
9 Te 0.920 0.595 0.301
10 Te 0.595 0.920 0.301
11 Pd 0.000 0.000 0.500


20.
Compound: AlCdIn
Source: the Alexandria database
Functional: PBE
Structure: relaxed

Calculated values
**Formation energy from the elements**: 0.13 eV/atom
**V**: 69 Å³/f.u.
**Space-group type**: P1
**Crystal system**: triclinic
**N(E_F)**: 0.355 states/eV per atom

Cell: 6.807 3.199 9.292 Å, 79.81 51.94 61.58°
Fractional positions:
1 In 0.419 0.537 0.668
2 In 0.980 0.491 0.617
3 Al 0.425 0.250 0.234
4 Al 0.886 0.413 0.985
5 Cd 0.382 0.917 0.986
6 Cd 0.851 0.794 0.296